#P
VASP calculation (PBE) on a relaxed NaLiPCl2 crystal.

Geometry as extended XYZ:
```
5
Lattice="-2.004 4.478 -0.767 -2.023 -1.630 -4.232 -4.084 -1.401 2.492" Properties=species:S:1:pos:R:3 pbc="T T T"
Li 0.000 0.000 0.000
Cl -1.002 2.239 -0.383
Cl -1.011 -0.815 -2.116
P -2.042 -0.701 1.246
Na -4.055 0.723 -1.253
```

Calculated values
- Total magnetic moment: 3.00 μB per formula unit
- Volume: 122.9 Å³ per cell

---

#Q
VASP calculation (PBE) on a relaxed NaLiPCl2 crystal.

Geometry as extended XYZ:
```
5
Lattice="-3.443 -3.936 -0.885 1.477 -0.147 -5.092 3.807 -3.602 1.208" Properties=species:S:1:pos:R:3 pbc="T T T"
P 1.904 -1.801 0.604
Na 0.000 0.000 0.000
Cl -1.722 -1.968 -0.442
Cl 0.738 -0.074 -2.546
Li 0.920 -3.843 -2.384
```

Calculated values
- Total magnetic moment: 3.01 μB per formula unit
- Volume: 151.3 Å³ per cell

---

Least stable = #Q

---

#P
VASP calculation (PBE) on a relaxed NaLiSCl2 crystal.

Geometry as extended XYZ:
```
5
Lattice="-4.266 0.337 2.583 -0.755 -4.903 -0.607 2.308 -0.841 3.922" Properties=species:S:1:pos:R:3 pbc="T T T"
Cl -2.133 0.169 1.291
Cl -0.377 -2.452 -0.303
Na -1.356 -2.703 2.949
S 1.154 -0.420 1.961
Li 0.000 0.000 0.000
```

Calculated values
- Total magnetic moment: 2.02 μB per formula unit
- Volume: 115.6 Å³ per cell

---

#Q
VASP calculation (PBE) on a relaxed NaLiSCl2 crystal.

Geometry as extended XYZ:
```
5
Lattice="-3.081 2.936 3.413 0.584 -2.987 3.096 4.442 2.656 1.725" Properties=species:S:1:pos:R:3 pbc="T T T"
Li 0.292 -1.493 1.548
Cl -1.540 1.468 1.707
Cl 2.221 1.328 0.862
Na 0.973 1.302 4.117
S 0.000 0.000 0.000
```

Calculated values
- Total magnetic moment: 0.00 μB per formula unit
- Volume: 129.2 Å³ per cell

---

#R
VASP calculation (PBE) on a relaxed NaLiSCl2 crystal.

Geometry as extended XYZ:
```
5
Lattice="5.304 0.000 0.000 0.000 5.304 0.000 0.000 0.000 5.153" Properties=species:S:1:pos:R:3 pbc="T T T"
Na 0.000 0.000 0.000
S 0.000 0.000 2.577
Li 2.652 2.652 2.577
Cl 2.652 0.000 0.000
Cl 0.000 2.652 0.000
```

Calculated values
- Total magnetic moment: 2.01 μB per formula unit
- Volume: 145.0 Å³ per cell

---

Least stable = #R

---

#P
VASP calculation (PBE) on a relaxed NaLiS2Cl crystal.

Geometry as extended XYZ:
```
5
Lattice="4.220 0.000 0.000 0.000 4.220 0.000 0.000 0.000 6.616" Properties=species:S:1:pos:R:3 pbc="T T T"
Cl 0.000 0.000 3.308
Li 0.000 0.000 0.000
S 0.000 2.110 0.000
S 2.110 0.000 0.000
Na 2.110 2.110 3.308
```

Calculated values
- Total magnetic moment: 0.00 μB per formula unit
- Volume: 117.8 Å³ per cell

---

#Q
VASP calculation (PBE) on a relaxed NaLiS2Cl crystal.

Geometry as extended XYZ:
```
5
Lattice="5.209 0.000 0.000 0.000 5.209 0.000 0.000 0.000 5.227" Properties=species:S:1:pos:R:3 pbc="T T T"
S 2.604 0.000 0.000
S 0.000 2.604 0.000
Li 2.604 2.604 2.614
Cl 0.000 0.000 2.614
Na 0.000 0.000 0.000
```

Calculated values
- Total magnetic moment: 3.01 μB per formula unit
- Volume: 141.8 Å³ per cell

---

Least stable = #Q

---

#P
VASP calculation (PBE) on a relaxed Na2LiSbCl6 crystal.

Geometry as extended XYZ:
```
10
Lattice="6.936 0.000 0.002 3.467 6.006 -0.001 3.470 2.001 6.603" Properties=species:S:1:pos:R:3 pbc="T T T"
Cl 5.745 6.159 1.432
Cl 9.397 3.957 1.433
Cl 8.073 5.844 4.880
Cl 4.775 4.064 4.880
Cl 5.664 1.896 1.433
Cl 7.965 2.100 4.881
Sb 3.467 2.002 0.086
Li 10.407 6.004 4.898
Na 6.936 4.004 2.906
Na 3.469 2.000 6.290
```

Calculated values
- Total magnetic moment: 0.00 μB per formula unit
- Volume: 275.0 Å³ per cell

---

#Q
VASP calculation (PBE) on a relaxed Na2LiSbCl6 crystal.

Geometry as extended XYZ:
```
10
Lattice="0.000 5.158 5.158 5.158 0.000 5.158 5.158 5.158 0.000" Properties=species:S:1:pos:R:3 pbc="T T T"
Cl 7.681 5.158 5.158
Cl 5.158 5.158 2.636
Cl 5.158 5.158 7.681
Cl 5.158 2.636 5.158
Cl 2.636 5.158 5.158
Cl 5.158 7.681 5.158
Sb 0.000 0.000 0.000
Li 5.158 5.158 5.158
Na 2.579 2.579 2.579
Na 7.737 7.737 7.737
```

Calculated values
- Total magnetic moment: 0.00 μB per formula unit
- Volume: 274.5 Å³ per cell

---

Least stable = #Q

---

#P
VASP calculation (PBE) on a relaxed Na2LiSmCl6 crystal.

Geometry as extended XYZ:
```
10
Lattice="-3.643 -2.912 5.162 -2.107 -6.605 -0.526 3.358 -5.059 4.197" Properties=species:S:1:pos:R:3 pbc="T T T"
Cl -3.816 -8.007 5.636
Cl -1.728 -4.385 4.071
Cl -1.844 -8.117 1.633
Cl 1.258 -7.036 3.420
Cl -0.569 -9.779 5.099
Cl -0.230 -6.495 6.763
Na 3.041 -4.945 4.036
Na -1.575 -7.157 4.227
Sm -1.731 -3.238 1.639
Li -2.769 -10.578 6.131
```

Calculated values
- Total magnetic moment: 0.00 μB per formula unit
- Volume: 259.6 Å³ per cell

---

#Q
VASP calculation (PBE) on a relaxed Na2LiSmCl6 crystal.

Geometry as extended XYZ:
```
10
Lattice="0.000 5.193 5.193 5.193 0.000 5.193 5.193 5.193 0.000" Properties=species:S:1:pos:R:3 pbc="T T T"
Li 5.193 5.193 5.193
Cl 5.193 5.193 7.714
Cl 2.671 5.193 5.193
Cl 7.714 5.193 5.193
Cl 5.193 7.714 5.193
Cl 5.193 2.671 5.193
Cl 5.193 5.193 2.671
Na 7.789 7.789 7.789
Na 2.596 2.596 2.596
Sm 0.000 0.000 0.000
```

Calculated values
- Total magnetic moment: 0.00 μB per formula unit
- Volume: 280.0 Å³ per cell

---

Least stable = #Q

---

#P
VASP calculation (PBE) on a relaxed Na2LiTlCl6 crystal.

Geometry as extended XYZ:
```
10
Lattice="2.037 3.973 5.686 -4.887 3.919 3.608 -1.986 -1.952 6.671" Properties=species:S:1:pos:R:3 pbc="T T T"
Na -3.627 4.455 11.974
Na -1.209 1.485 3.991
Cl -4.613 2.476 9.114
Cl -2.206 0.546 7.337
Cl -0.224 3.464 6.851
Cl -2.631 5.394 8.628
Cl -1.202 2.502 10.137
Cl -3.634 3.437 5.828
Li -2.418 2.970 7.983
Tl 0.000 0.000 0.000
```

Calculated values
- Total magnetic moment: 0.00 μB per formula unit
- Volume: 267.1 Å³ per cell

---

#Q
VASP calculation (PBE) on a relaxed Na2LiTlCl6 crystal.

Geometry as extended XYZ:
```
10
Lattice="6.737 0.001 0.001 3.369 5.836 0.001 3.369 1.946 6.824" Properties=species:S:1:pos:R:3 pbc="T T T"
Tl 6.737 3.892 6.689
Cl 4.640 4.015 5.030
Cl 5.620 2.055 1.178
Cl 7.894 5.647 5.032
Cl 7.680 2.013 5.031
Cl 8.884 3.842 1.177
Cl 5.706 5.777 1.178
Li 10.108 5.837 6.260
Na 6.737 3.891 3.071
Na 3.369 1.946 6.410
```

Calculated values
- Total magnetic moment: 0.00 μB per formula unit
- Volume: 268.2 Å³ per cell

---

Least stable = #P